1.
# PBE NdHoIr2, relaxed
data_NdHoIr2
_chemical_formula_sum 'Nd4 Ho4 Ir8'
_symmetry_space_group_name_H-M 'F m -3 m'
_symmetry_Int_Tables_number 225
_symmetry_space_group_name_Hall '-F 4 2 3'
_cell_length_a 6.965
_cell_length_b 6.965
_cell_length_c 6.965
_cell_angle_alpha 90.00
_cell_angle_beta 90.00
_cell_angle_gamma 90.00
loop_
_atom_site_label
_atom_site_type_symbol
_atom_site_fract_x
_atom_site_fract_y
_atom_site_fract_z
Nd1 Nd 0.000 0.000 0.000
Ho1 Ho 0.000 0.000 0.500
Ir1 Ir 0.250 0.250 0.250
# Volume ... 337.8 Å³/cell
# D(E_F) ... 0.6007 states/eV/atom
# Distance to the lowest polymorph of the same formula ... 2.7 meV per atom
# VASP energy ... -7.4391 eV/atom


2.
# PBE CdGaTcGe2, relaxed
data_CdGaTcGe2
_chemical_formula_sum 'Cd1 Ga1 Tc1 Ge2'
_symmetry_space_group_name_H-M 'P 4/m m m'
_symmetry_Int_Tables_number 123
_symmetry_space_group_name_Hall '-P 4 2'
_cell_length_a 4.836
_cell_length_b 4.836
_cell_length_c 4.958
_cell_angle_alpha 90.00
_cell_angle_beta 90.00
_cell_angle_gamma 90.00
loop_
_atom_site_label
_atom_site_type_symbol
_atom_site_fract_x
_atom_site_fract_y
_atom_site_fract_z
Cd1 Cd 0.000 0.000 0.000
Ga1 Ga 0.500 0.500 0.000
Tc1 Tc 0.500 0.500 0.500
Ge1 Ge 0.000 0.500 0.500
# Volume ... 116.0 Å³/cell
# D(E_F) ... 0.0721 states/eV/atom
# VASP energy ... -4.5746 eV/atom


3.
# PBE Nb2Ge2Ru, relaxed
data_Nb2Ge2Ru
_chemical_formula_sum 'Nb8 Ge8 Ru4'
_symmetry_space_group_name_H-M 'C m c 21'
_symmetry_Int_Tables_number 36
_cell_length_a 4.365
_cell_length_b 14.007
_cell_length_c 5.437
_cell_angle_alpha 90.00
_cell_angle_beta 90.00
_cell_angle_gamma 90.00
loop_
_symmetry_equiv_pos_as_xyz
'x,y,z'
'-x,-y,z+1/2'
'-x,y,z'
'x,-y,z+1/2'
'x+1/2,y+1/2,z'
'-x+1/2,-y+1/2,z+1/2'
'-x+1/2,y+1/2,z'
'x+1/2,-y+1/2,z+1/2'
loop_
_atom_site_label
_atom_site_type_symbol
_atom_site_fract_x
_atom_site_fract_y
_atom_site_fract_z
Nb1 Nb 0.000 0.001 0.000
Nb2 Nb 0.000 0.196 0.290
Ge1 Ge 0.000 0.183 0.790
Ge2 Ge 0.000 0.421 0.729
Ru1 Ru 0.000 0.395 0.189
# Volume ... 332.4 Å³/cell
# D(E_F) ... 0.6672 states/eV/atom
# VASP energy ... -8.0038 eV/atom